Computed, not measured: a relaxed AcLaPrDy3 crystal at the PBE-GGA level of DFT.

Calculated values
**Volume**: 35.9 Å³/atom
**DOS at the Fermi energy**: 1.483 states/eV/atom
**Crystal system**: monoclinic
**Space group**: C2/m

Cell: 5.759 10.628 7.303 Å, 90.20 90.00 105.72°
Fractional coordinates of all 12 atoms:
Ac1 0.352 0.705 0.962
Ac2 0.648 0.295 0.038
La1 0.646 0.293 0.477
La2 0.354 0.707 0.523
Pr1 0.053 0.107 0.268
Pr2 0.947 0.893 0.732
Dy1 0.835 0.670 0.253
Dy2 0.781 0.561 0.738
Dy3 0.479 0.958 0.258
Dy4 0.219 0.439 0.262
Dy5 0.521 0.042 0.742
Dy6 0.165 0.330 0.747

---

Computed, not measured: a relaxed AcLaPr4Dy2 crystal at the PBE-GGA level of DFT.

Calculated values
**Volume**: 36.3 Å³/atom
**DOS at the Fermi energy**: 1.786 states/eV/atom
**Crystal system**: monoclinic
**Space group**: C2/m

Cell: 5.239 6.441 9.836 Å, 89.93 74.56 66.00°
Fractional coordinates of all 8 atoms:
Ac1 0.500 0.500 0.500
La1 0.000 0.000 0.000
Pr1 0.123 0.125 0.628
Pr2 0.373 0.376 0.877
Pr3 0.877 0.875 0.372
Pr4 0.627 0.624 0.123
Dy1 0.746 0.755 0.753
Dy2 0.254 0.245 0.247

---

Computed, not measured: a relaxed AcLa5Pr2Dy crystal at the PBE-GGA level of DFT.

Calculated values
**Volume**: 37.3 Å³/atom
**DOS at the Fermi energy**: 1.610 states/eV/atom
**Crystal system**: tetragonal
**Space group**: I4/mcm

Cell: 9.224 9.224 10.245 Å, 116.75 116.75 90.00°
Fractional coordinates of all 18 atoms:
Ac1 0.250 0.250 0.500
Ac2 0.750 0.750 0.500
La1 0.931 0.431 0.269
La2 0.663 0.163 0.731
La3 0.069 0.569 0.731
La4 0.163 0.069 0.731
La5 0.569 0.663 0.731
La6 0.837 0.931 0.269
La7 0.431 0.337 0.269
La8 0.337 0.837 0.269
La9 0.500 0.500 0.000
La10 0.000 0.000 0.000
Pr1 0.117 0.383 0.000
Pr2 0.617 0.117 0.000
Pr3 0.383 0.883 0.000
Pr4 0.883 0.617 0.000
Dy1 0.250 0.750 0.500
Dy2 0.750 0.250 0.500

---

Computed, not measured: a relaxed AcLaDyPt2 crystal at the PBE-GGA level of DFT.

Calculated values
**Volume**: 30.5 Å³/atom
**DOS at the Fermi energy**: 0.778 states/eV/atom
**Crystal system**: monoclinic
**Space group**: C2/m

Cell: 4.622 8.952 7.970 Å, 86.05 73.14 75.04°
Fractional coordinates of all 10 atoms:
Ac1 0.816 0.732 0.637
Ac2 0.184 0.268 0.363
La1 0.391 0.367 0.851
La2 0.609 0.633 0.149
Dy1 0.087 0.044 0.782
Dy2 0.913 0.956 0.218
Pt1 0.344 0.894 0.419
Pt2 0.656 0.106 0.581
Pt3 0.826 0.273 0.075
Pt4 0.174 0.727 0.925

---

Computed, not measured: a relaxed AcLaDyPu crystal at the PBE-GGA level of DFT.

Calculated values
**Volume**: 35.4 Å³/atom
**DOS at the Fermi energy**: 3.890 states/eV/atom
**Crystal system**: cubic
**Space group**: F-43m

Cell: 5.850 5.850 5.850 Å, 60.00 60.00 60.00°
Fractional coordinates of all 4 atoms:
Ac1 0.750 0.750 0.750
Dy1 0.500 0.500 0.500
La1 0.000 0.000 0.000
Pu1 0.250 0.250 0.250

---

Computed, not measured: a relaxed Ac2LaDySb4 crystal at the PBE-GGA level of DFT.

Calculated values
**Volume**: 35.7 Å³/atom
**DOS at the Fermi energy**: 0.108 states/eV/atom
**Formation energy from raw total energies**: -9.5 eV/f.u.
**Crystal system**: monoclinic
**Space group**: P2/m

Cell: 4.660 8.064 8.059 Å, 70.54 90.00 90.00°
Fractional coordinates of all 8 atoms:
Ac1 0.000 0.000 0.000
Ac2 0.500 0.000 0.500
La1 0.500 0.500 0.000
Dy1 0.000 0.500 0.500
Sb1 0.000 0.735 0.749
Sb2 0.000 0.265 0.251
Sb3 0.500 0.731 0.262
Sb4 0.500 0.269 0.738

---

Computed, not measured: a relaxed AcLaDySc crystal at the PBE-GGA level of DFT.

Calculated values
**Volume**: 34.2 Å³/atom
**DOS at the Fermi energy**: 1.649 states/eV/atom
**Crystal system**: cubic
**Space group**: F-43m

Cell: 5.785 5.785 5.785 Å, 60.00 60.00 60.00°
Fractional coordinates of all 4 atoms:
Sc1 0.000 0.000 0.000
Ac1 0.250 0.250 0.250
La1 0.750 0.750 0.750
Dy1 0.500 0.500 0.500

---

Computed, not measured: a relaxed Ac3La2DySe6 crystal at the PBE-GGA level of DFT.

Calculated values
**Volume**: 29.1 Å³/atom
**DOS at the Fermi energy**: 0.530 states/eV/atom
**Formation energy from raw total energies**: -22.6 eV/f.u.
**Crystal system**: monoclinic
**Space group**: C2/m

Cell: 7.515 7.515 7.581 Å, 99.55 99.55 120.14°
Fractional coordinates of all 12 atoms:
Ac1 0.171 0.829 0.500
Ac2 0.829 0.171 0.500
Ac3 0.500 0.500 0.500
La1 0.334 0.666 0.000
La2 0.666 0.334 0.000
Dy1 0.000 0.000 0.000
Se1 0.924 0.601 0.769
Se2 0.757 0.757 0.237
Se3 0.076 0.399 0.231
Se4 0.601 0.924 0.769
Se5 0.243 0.243 0.763
Se6 0.399 0.076 0.231

---

Computed, not measured: a relaxed AcLaDy2Se4 crystal at the PBE-GGA level of DFT.

Calculated values
**Volume**: 26.8 Å³/atom
**DOS at the Fermi energy**: 0.511 states/eV/atom
**Formation energy from raw total energies**: -14.7 eV/f.u.
**Crystal system**: monoclinic
**Space group**: P2/m

Cell: 4.138 7.578 7.205 Å, 71.64 90.00 90.00°
Fractional coordinates of all 8 atoms:
Ac1 0.500 0.500 0.000
La1 0.000 0.500 0.500
Dy1 0.000 0.000 0.000
Dy2 0.500 0.000 0.500
Se1 0.000 0.777 0.737
Se2 0.000 0.223 0.263
Se3 0.500 0.774 0.245
Se4 0.500 0.226 0.755

---

Computed, not measured: a relaxed AcLa4Dy3Se8 crystal at the PBE-GGA level of DFT.

Calculated values
**Volume**: 27.1 Å³/atom
**DOS at the Fermi energy**: 0.632 states/eV/atom
**Formation energy from raw total energies**: -30.0 eV/f.u.
**Crystal system**: trigonal
**Space group**: R-3m

Cell: 8.485 8.512 8.485 Å, 119.91 120.00 90.00°
Fractional coordinates of all 16 atoms:
Ac1 0.000 0.500 0.000
La1 0.500 0.000 0.000
La2 0.500 0.000 0.500
La3 0.000 0.000 0.000
La4 0.000 0.000 0.500
Dy1 0.500 0.500 0.000
Dy2 0.500 0.500 0.500
Dy3 0.000 0.500 0.500
Se1 0.253 0.739 0.986
Se2 0.253 0.739 0.506
Se3 0.256 0.269 0.513
Se4 0.733 0.739 0.986
Se5 0.267 0.261 0.014
Se6 0.744 0.731 0.487
Se7 0.747 0.261 0.494
Se8 0.747 0.261 0.014

---

Computed, not measured: a relaxed AcLa3Dy2Se6 crystal at the PBE-GGA level of DFT.

Calculated values
**Volume**: 27.4 Å³/atom
**DOS at the Fermi energy**: 0.527 states/eV/atom
**Formation energy from raw total energies**: -22.6 eV/f.u.
**Crystal system**: monoclinic
**Space group**: C2/m

Cell: 7.385 7.385 7.394 Å, 99.64 99.64 120.14°
Fractional coordinates of all 12 atoms:
Ac1 0.000 0.000 0.000
La1 0.160 0.840 0.500
La2 0.840 0.160 0.500
La3 0.500 0.500 0.500
Dy1 0.332 0.668 0.000
Dy2 0.668 0.332 0.000
Se1 0.919 0.569 0.758
Se2 0.727 0.727 0.234
Se3 0.081 0.431 0.242
Se4 0.569 0.919 0.758
Se5 0.273 0.273 0.766
Se6 0.431 0.081 0.242

---

Computed, not measured: a relaxed Ac2LaDySe5 crystal at the PBE-GGA level of DFT.

Calculated values
**Volume**: 30.6 Å³/atom
**DOS at the Fermi energy**: 0.361 states/eV/atom
**Formation energy from raw total energies**: -16.5 eV/f.u.
**Crystal system**: orthorhombic
**Space group**: Cmc2_1

Cell: 4.251 9.278 14.367 Å, 90.00 90.00 103.24°
Fractional coordinates of all 18 atoms:
Ac1 0.862 0.724 0.802
Ac2 0.084 0.168 0.640
Ac3 0.138 0.276 0.302
Ac4 0.916 0.832 0.140
La1 0.552 0.104 0.947
La2 0.448 0.896 0.447
Dy1 0.769 0.538 0.534
Dy2 0.231 0.462 0.034
Se1 0.383 0.766 0.980
Se2 0.709 0.418 0.900
Se3 0.495 0.990 0.760
Se4 0.256 0.511 0.678
Se5 0.919 0.838 0.584
Se6 0.617 0.234 0.480
Se7 0.291 0.582 0.400
Se8 0.505 0.010 0.260
Se9 0.744 0.489 0.178
Se10 0.081 0.162 0.084

---

no.,density (Mg/m³),total DFT energy (no corrections) (eV/cell)
1,7.7,-52.6
2,7.2,-37.1
3,6.7,-81.6
4,10.0,-61.3
5,9.1,-26.9
6,7.2,-43.8
7,7.0,-19.6
8,7.6,-70.3
9,7.8,-46.9
10,7.3,-95.5
11,7.3,-71.6
12,6.9,-103.4